(1)
Computed, not measured: an optimized crystal structure of BaScPbCl2 at the PBE-GGA level of DFT.

Cell and atoms, written as POSCAR:
```
BaScPbCl2
1.0
5.6104 0.0000 0.0000
0.0000 6.9661 0.0000
0.0000 0.0000 5.6104
Cl Sc Ba Pb
2 1 1 1
Direct
0.5000 0.0000 0.0000
0.0000 0.0000 0.5000
0.5000 0.5000 0.5000
0.0000 0.5000 0.0000
0.0000 0.0000 0.0000
```

* energy: -3.20 eV/atom
* Fermi-level density of states: 1.04 states/eV per atom

(2)
Computed, not measured: an optimized crystal structure of Sc2Sb2Pt at the PBE-GGA level of DFT.

Cell and atoms, written as POSCAR:
```
Sc2Sb2Pt
1.0
-0.4825 -4.1379 -5.8033
7.0739 -0.9897 0.1176
-0.5211 -3.4287 2.4881
Pt Sb Sc
2 4 4
Direct
0.5000 0.5000 0.0000
0.0000 0.0000 0.0000
0.6474 0.1474 0.0000
0.1474 0.3526 0.0000
0.3526 0.8526 0.0000
0.8526 0.6474 0.0000
0.1621 0.6621 0.5000
0.6621 0.8379 0.5000
0.8379 0.3379 0.5000
0.3379 0.1621 0.5000
```

* energy: -6.05 eV/atom
* Fermi-level density of states: 0.31 states/eV per atom

(3)
Computed, not measured: an optimized crystal structure of ZnCd3Rh4 at the PBE-GGA level of DFT.

Cell and atoms, written as POSCAR:
```
ZnCd3Rh4
1.0
3.1400 0.0000 0.0000
0.0000 3.1400 0.0000
0.0000 0.0000 13.0765
Rh Cd Zn
4 3 1
Direct
0.0000 0.0000 0.6305
0.0000 0.0000 0.3695
0.0000 0.0000 0.8925
0.0000 0.0000 0.1075
0.5000 0.5000 0.7595
0.5000 0.5000 0.5000
0.5000 0.5000 0.2405
0.5000 0.5000 0.0000
```

* energy: -4.31 eV/atom
* ΔH_f (0 K): -0.13 eV per atom
* Fermi-level density of states: 1.12 states/eV per atom

(4)
Computed, not measured: an optimized crystal structure of YZrNi at the PBE-GGA level of DFT.

Cell and atoms, written as POSCAR:
```
YZrNi
1.0
4.5978 0.0000 0.0000
2.2989 3.9818 0.0000
2.2989 1.3273 3.7541
Ni Zr Y
1 1 1
Direct
0.7500 0.7500 0.7500
0.5000 0.5000 0.5000
0.0000 0.0000 0.0000
```

* energy: -6.90 eV/atom
* ΔH_f (0 K): 0.03 eV per atom
* energy above the most stable polymorph in this dataset: 0.2326 eV/atom
* Fermi-level density of states: 1.58 states/eV per atom

(5)
Computed, not measured: an optimized crystal structure of CaMg2Br at the PBE-GGA level of DFT.

Cell and atoms, written as POSCAR:
```
CaMg2Br
1.0
6.7172 0.0000 0.0000
0.0000 4.2392 0.0000
0.0000 0.0000 4.2392
Mg Br Ca
2 1 1
Direct
0.0000 0.0000 0.0000
0.0000 0.5000 0.5000
0.5000 0.5000 0.0000
0.5000 0.0000 0.5000
```

* energy: -2.11 eV/atom
* energy above the most stable polymorph in this dataset: 0.1596 eV/atom
* Fermi-level density of states: 0.78 states/eV per atom

(6)
Computed, not measured: an optimized crystal structure of TbHo5Ni2 at the PBE-GGA level of DFT.

Cell and atoms, written as POSCAR:
```
TbHo5Ni2
1.0
-4.3359 -0.9930 -0.5557
-2.2792 -3.7775 6.4531
-3.8392 3.3177 5.9465
Ho Ni Tb
5 2 1
Direct
0.0000 0.5000 0.5000
0.6509 0.5843 0.1139
0.3491 0.4157 0.8861
0.3491 0.8861 0.4157
0.6509 0.1139 0.5843
0.2027 0.2973 0.2973
0.7973 0.7027 0.7027
0.0000 0.0000 0.0000
```

* energy: -5.01 eV/atom
* ΔH_f (0 K): -0.12 eV per atom
* energy above the most stable polymorph in this dataset: 0.0391 eV/atom
* Fermi-level density of states: 1.09 states/eV per atom

(7)
Computed, not measured: an optimized crystal structure of CaSc2Ga6 at the PBE-GGA level of DFT.

Cell and atoms, written as POSCAR:
```
CaSc2Ga6
1.0
-0.0553 2.0548 3.7066
3.9114 -4.2173 4.8194
7.1685 1.2168 1.8556
Ga Ca Sc
6 1 2
Direct
0.3098 0.9949 0.3856
0.3098 0.3856 0.9949
0.6902 0.6144 0.0051
0.5000 0.3199 0.6801
0.6902 0.0051 0.6144
0.5000 0.6801 0.3199
0.0000 0.0000 0.0000
0.1215 0.3785 0.3785
0.8785 0.6215 0.6215
```

* energy: -4.14 eV/atom
* ΔH_f (0 K): -0.49 eV per atom
* energy above the most stable polymorph in this dataset: 0.0033 eV/atom
* Fermi-level density of states: 0.26 states/eV per atom

(8)
Computed, not measured: an optimized crystal structure of K2AuSe3 at the PBE-GGA level of DFT.

Cell and atoms, written as POSCAR:
```
K2AuSe3
1.0
7.1934 0.0000 0.0000
-3.5967 6.2297 0.0000
0.0000 0.0000 11.4500
K Se Au
4 6 2
Direct
0.6667 0.3333 0.2499
0.0000 0.0000 0.5000
0.0000 0.0000 0.0000
0.3333 0.6667 0.7501
0.1371 0.2743 0.2499
0.7257 0.8629 0.2499
0.8629 0.7257 0.7501
0.2743 0.1371 0.7501
0.8629 0.1371 0.7501
0.1371 0.8629 0.2499
0.6667 0.3333 0.7508
0.3333 0.6667 0.2492
```

* energy: -3.14 eV/atom
* Fermi-level density of states: 0.53 states/eV per atom

> Number 4 is which compound?

YZrNi

> Which of these has the lowest energy?

YZrNi

> Number 4 is which compound?

YZrNi

> Which formula does entry 7 have?

CaSc2Ga6